*i*
An optimized crystal structure of NaWSeN2. Source: Alexandria via LeMat-Bulk, functional PBE.

a = 3.9548 Å, b = 3.9548 Å, c = 5.2492 Å
α = 90.00°, β = 90.00°, γ = 90.00°
Each line ends with the local moment (μB).
Fractional coordinates of all 5 atoms:
Se: 0.0000 0.0000 0.5000  0.05
Na: 0.5000 0.5000 0.5000  0.00
N: 0.0000 0.5000 0.0000  0.19
N: 0.5000 0.0000 0.0000  0.19
W: 0.0000 0.0000 0.0000  -0.12

Space-group type: No. 123
M_tot: 0.48 μB per formula unit
DOS(E_F): 0.6073 states/eV per atom

***

*ii*
An optimized crystal structure of NaWSeN2. Source: Alexandria via LeMat-Bulk, functional PBE.

a = 3.9032 Å, b = 8.1068 Å, c = 3.9032 Å
α = 90.00°, β = 90.00°, γ = 90.00°
Each line ends with the local moment (μB).
Fractional coordinates of all 5 atoms:
W: 0.0000 0.0000 0.0000  0.66
Se: 0.5000 0.5000 0.5000  0.23
N: 0.5000 0.0000 0.0000  0.12
N: 0.0000 0.0000 0.5000  0.20
Na: 0.0000 0.5000 0.0000  0.00

Space-group type: No. 123
M_tot: 1.87 μB per formula unit
DOS(E_F): 0.9085 states/eV per atom

***

*iii*
An optimized crystal structure of NaWSeN2. Source: Alexandria via LeMat-Bulk, functional PBE.

a = 3.9460 Å, b = 3.9460 Å, c = 4.8188 Å
α = 90.00°, β = 90.00°, γ = 90.00°
Fractional coordinates of all 5 atoms:
N: 0.0000 0.5000 0.0000
N: 0.5000 0.0000 0.0000
W: 0.5000 0.5000 0.5000
Se: 0.0000 0.0000 0.5000
Na: 0.0000 0.0000 0.0000

Space-group type: No. 123
M_tot: 0.00 μB per formula unit
DOS(E_F): 1.3670 states/eV per atom

***

Referenced to the most stable arrangement, the calculated values in meV per atom are *i* 0; *ii* 631; *iii* 2693.

***

*i*
An optimized crystal structure of NaZrSeN2. Source: Alexandria via LeMat-Bulk, functional PBE.

a = 4.1310 Å, b = 4.1310 Å, c = 4.8309 Å
α = 90.00°, β = 90.00°, γ = 90.00°
Each line ends with the local moment (μB).
Fractional coordinates of all 5 atoms:
N: 0.5000 0.0000 0.0000  1.08
N: 0.0000 0.5000 0.0000  1.08
Na: 0.0000 0.0000 0.0000  0.06
Zr: 0.5000 0.5000 0.5000  -0.35
Se: 0.0000 0.0000 0.5000  0.21

Space-group type: No. 123
M_tot: 2.89 μB per formula unit
DOS(E_F): 0.4474 states/eV per atom

***

*ii*
An optimized crystal structure of NaZrSeN2. Source: Alexandria via LeMat-Bulk, functional PBE.

a = 4.3312 Å, b = 4.3312 Å, c = 5.4017 Å
α = 90.00°, β = 90.00°, γ = 90.00°
Each line ends with the local moment (μB).
Fractional coordinates of all 5 atoms:
N: 0.0000 0.5000 0.0000  0.88
N: 0.5000 0.0000 0.0000  0.88
Na: 0.5000 0.5000 0.5000  0.00
Zr: 0.0000 0.0000 0.0000  -0.11
Se: 0.0000 0.0000 0.5000  0.30

Space-group type: No. 123
M_tot: 2.94 μB per formula unit
DOS(E_F): 0.5448 states/eV per atom

***

Referenced to the most stable arrangement, the calculated values in meV per atom are *i* 1385; *ii* 0.

***

*i*
An optimized crystal structure of Na2Si2N. Source: Alexandria via LeMat-Bulk, functional PBE.

a = 3.3330 Å, b = 3.3330 Å, c = 8.9599 Å
α = 79.28°, β = 79.28°, γ = 90.00°
Fractional coordinates of all 5 atoms:
Na: 0.4238 0.4238 0.1523
Na: 0.5762 0.5762 0.8477
Si: 0.7500 0.2500 0.5000
Si: 0.2500 0.7500 0.5000
N: 0.0000 0.0000 0.0000

Space-group type: No. 139
M_tot: 0.00 μB per formula unit
DOS(E_F): 0.5719 states/eV per atom

***

*ii*
An optimized crystal structure of Na2Si2N. Source: Alexandria via LeMat-Bulk, functional PBE.

a = 5.9606 Å, b = 5.9606 Å, c = 5.1199 Å
α = 90.00°, β = 90.00°, γ = 90.00°
Fractional coordinates of all 10 atoms:
Na: 0.1646 0.3354 0.0000
Na: 0.3354 0.8354 0.0000
Na: 0.8354 0.6646 0.0000
Na: 0.6646 0.1646 0.0000
N: 0.5000 0.5000 0.0000
N: 0.0000 0.0000 0.0000
Si: 0.1426 0.6426 0.5000
Si: 0.6426 0.8574 0.5000
Si: 0.8574 0.3574 0.5000
Si: 0.3574 0.1426 0.5000

Space-group type: No. 127
M_tot: 0.00 μB per formula unit
DOS(E_F): 0.7245 states/eV per atom

***

Referenced to the most stable arrangement, the calculated values in meV per atom are *i* 0; *ii* 357.

***

*i*
An optimized crystal structure of NaSiTe2N. Source: Alexandria via LeMat-Bulk, functional PBE.

a = 5.8523 Å, b = 5.8523 Å, c = 3.2788 Å
α = 90.00°, β = 90.00°, γ = 90.00°
Fractional coordinates of all 5 atoms:
N: 0.0000 0.0000 0.5000
Si: 0.0000 0.0000 0.0000
Na: 0.5000 0.5000 0.5000
Te: 0.0000 0.5000 0.0000
Te: 0.5000 0.0000 0.0000

Space-group type: No. 123
M_tot: 0.00 μB per formula unit
DOS(E_F): 0.5692 states/eV per atom

***

*ii*
An optimized crystal structure of NaSiTe2N. Source: Alexandria via LeMat-Bulk, functional PBE.

a = 5.5830 Å, b = 5.5830 Å, c = 4.2718 Å
α = 90.00°, β = 90.00°, γ = 90.00°
Each line ends with the local moment (μB).
Fractional coordinates of all 5 atoms:
N: 0.0000 0.0000 0.5000  1.59
Te: 0.5000 0.0000 0.0000  0.07
Te: 0.0000 0.5000 0.0000  0.07
Si: 0.5000 0.5000 0.5000  0.01
Na: 0.0000 0.0000 0.0000  0.02

Space-group type: No. 123
M_tot: 2.64 μB per formula unit
DOS(E_F): 0.9912 states/eV per atom

***

Referenced to the most stable arrangement, the calculated values in meV per atom are *i* 0; *ii* 1511.

***

*i*
An optimized crystal structure of Na2SnN. Source: Alexandria via LeMat-Bulk, functional PBE.

a = 9.1750 Å, b = 9.1750 Å, c = 6.8651 Å
α = 48.07°, β = 48.07°, γ = 90.00°
Fractional coordinates of all 8 atoms:
Sn: 0.0000 0.0000 0.0000
Sn: 0.7500 0.2500 0.5000
Na: 0.3750 0.5245 0.7500
Na: 0.8750 0.7255 0.7500
Na: 0.2745 0.6250 0.2500
Na: 0.4755 0.1250 0.2500
N: 0.2500 0.7500 0.5000
N: 0.5000 0.5000 0.0000

Space-group type: No. 122
M_tot: 0.00 μB per formula unit
DOS(E_F): 0.7564 states/eV per atom

***

*ii*
An optimized crystal structure of Na2SnN. Source: Alexandria via LeMat-Bulk, functional PBE.

a = 4.8080 Å, b = 4.8080 Å, c = 4.8080 Å
α = 60.00°, β = 60.00°, γ = 60.00°
Fractional coordinates of all 4 atoms:
N: 0.0000 0.0000 0.0000
Na: 0.2500 0.2500 0.2500
Na: 0.7500 0.7500 0.7500
Sn: 0.5000 0.5000 0.5000

Space-group type: No. 225
M_tot: 0.00 μB per formula unit
DOS(E_F): 0.4573 states/eV per atom

***

Referenced to the most stable arrangement, the calculated values in meV per atom are *i* 0; *ii* 507.

***

*i*
An optimized crystal structure of Na3SnN. Source: Alexandria via LeMat-Bulk, functional PBE.

a = 6.0146 Å, b = 6.0146 Å, c = 6.0146 Å
α = 90.00°, β = 90.00°, γ = 90.00°
Each line ends with the local moment (μB).
Fractional coordinates of all 5 atoms:
Sn: 0.0000 0.0000 0.0000  0.51
Na: 0.0000 0.5000 0.0000  0.02
Na: 0.5000 0.0000 0.0000  0.00
Na: 0.0000 0.0000 0.5000  0.03
N: 0.5000 0.5000 0.5000  1.69

Space-group type: No. 221
M_tot: 4.00 μB per formula unit
DOS(E_F): 0.3594 states/eV per atom

***

*ii*
An optimized crystal structure of Na3SnN. Source: Alexandria via LeMat-Bulk, functional PBE.

a = 4.8292 Å, b = 4.8292 Å, c = 4.8292 Å
α = 90.00°, β = 90.00°, γ = 90.00°
Each line ends with the local moment (μB).
Fractional coordinates of all 5 atoms:
Sn: 0.5000 0.5000 0.5000  0.06
Na: 0.0000 0.5000 0.0000  0.00
Na: 0.0000 0.0000 0.5000  0.00
Na: 0.5000 0.0000 0.0000  0.00
N: 0.0000 0.0000 0.0000  0.54

Space-group type: No. 221
M_tot: 0.94 μB per formula unit
DOS(E_F): 0.7476 states/eV per atom

***

Referenced to the most stable arrangement, the calculated values in meV per atom are *i* 655; *ii* 0.

***

*i*
An optimized crystal structure of NaSnTe2N. Source: Alexandria via LeMat-Bulk, functional PBE.

a = 6.1770 Å, b = 6.1770 Å, c = 3.8415 Å
α = 90.00°, β = 90.00°, γ = 90.00°
Fractional coordinates of all 5 atoms:
Te: 0.5000 0.0000 0.0000
Te: 0.0000 0.5000 0.0000
N: 0.0000 0.0000 0.5000
Na: 0.5000 0.5000 0.5000
Sn: 0.0000 0.0000 0.0000

Space-group type: No. 123
M_tot: 0.00 μB per formula unit
DOS(E_F): 1.0213 states/eV per atom

***

*ii*
An optimized crystal structure of NaSnTe2N. Source: Alexandria via LeMat-Bulk, functional PBE.

a = 5.7018 Å, b = 5.7018 Å, c = 4.4224 Å
α = 90.00°, β = 90.00°, γ = 90.00°
Each line ends with the local moment (μB).
Fractional coordinates of all 5 atoms:
Te: 0.5000 0.0000 0.0000  0.14
Te: 0.0000 0.5000 0.0000  0.14
Sn: 0.5000 0.5000 0.5000  0.01
Na: 0.0000 0.0000 0.0000  0.01
N: 0.0000 0.0000 0.5000  1.63

Space-group type: No. 123
M_tot: 2.94 μB per formula unit
DOS(E_F): 1.0497 states/eV per atom

***

Referenced to the most stable arrangement, the calculated values in meV per atom are *i* 0; *ii* 557.

***

*i*
An optimized crystal structure of NaSrN2. Source: Alexandria via LeMat-Bulk, functional PBE.

a = 7.1854 Å, b = 7.1854 Å, c = 7.1854 Å
α = 32.76°, β = 32.76°, γ = 32.76°
Each line ends with the local moment (μB).
Fractional coordinates of all 4 atoms:
Na: 0.0000 0.0000 0.0000  0.01
N: 0.1119 0.1119 0.1119  1.00
N: 0.8881 0.8881 0.8881  1.00
Sr: 0.5000 0.5000 0.5000  0.04

Space-group type: No. 166
M_tot: 3.00 μB per formula unit
DOS(E_F): 0.8674 states/eV per atom

***

*ii*
An optimized crystal structure of NaSrN2. Source: Alexandria via LeMat-Bulk, functional PBE.

a = 4.4382 Å, b = 4.4382 Å, c = 4.4382 Å
α = 60.00°, β = 60.00°, γ = 60.00°
Each line ends with the local moment (μB).
Fractional coordinates of all 4 atoms:
N: 0.7500 0.7500 0.7500  1.02
N: 0.2500 0.2500 0.2500  1.02
Sr: 0.5000 0.5000 0.5000  0.02
Na: 0.0000 0.0000 0.0000  -0.01

Space-group type: No. 225
M_tot: 3.00 μB per formula unit
DOS(E_F): 0.2427 states/eV per atom

***

Referenced to the most stable arrangement, the calculated values in meV per atom are *i* 206; *ii* 0.

***

*i*
An optimized crystal structure of NaSr4N2. Source: Alexandria via LeMat-Bulk, functional PBE.

a = 4.0409 Å, b = 7.1393 Å, c = 14.3377 Å
α = 90.00°, β = 90.00°, γ = 106.44°
Fractional coordinates of all 14 atoms:
Sr: 0.2509 0.5018 0.9088
Sr: 0.9054 0.8108 0.7500
Sr: 0.5000 0.0000 0.5000
Sr: 0.7491 0.4982 0.4088
Sr: 0.0946 0.1892 0.2500
Sr: 0.5000 0.0000 0.0000
Sr: 0.2509 0.5018 0.5912
Sr: 0.7491 0.4982 0.0912
Na: 0.6177 0.2354 0.7500
Na: 0.3823 0.7646 0.2500
N: 0.8610 0.7219 0.5627
N: 0.1390 0.2781 0.0627
N: 0.1390 0.2781 0.4373
N: 0.8610 0.7219 0.9373

Space-group type: No. 63
M_tot: 0.00 μB per formula unit
DOS(E_F): 0.2724 states/eV per atom

***

*ii*
An optimized crystal structure of NaSr4N2. Source: Alexandria via LeMat-Bulk, functional PBE.

a = 3.8535 Å, b = 6.6959 Å, c = 10.3551 Å
α = 107.58°, β = 100.72°, γ = 90.00°
Fractional coordinates of all 7 atoms:
Sr: 0.3226 0.9879 0.6453
Sr: 0.6774 0.0121 0.3547
Sr: 0.8194 0.4776 0.6388
Sr: 0.1806 0.5224 0.3612
Na: 0.5000 0.5000 0.0000
N: 0.7539 0.7559 0.5079
N: 0.2461 0.2441 0.4921

Space-group type: No. 12
M_tot: 0.00 μB per formula unit
DOS(E_F): 0.5543 states/eV per atom

***

Referenced to the most stable arrangement, the calculated values in meV per atom are *i* 130; *ii* 0.

***

*i*
An optimized crystal structure of Na3Sr4N. Source: Alexandria via LeMat-Bulk, functional PBE.

a = 8.1230 Å, b = 8.1230 Å, c = 8.1230 Å
α = 82.44°, β = 127.51°, γ = 121.51°
Fractional coordinates of all 8 atoms:
Na: 0.6623 0.2341 0.8964
Na: 0.8485 0.0000 0.8485
Na: 0.6623 0.7659 0.4282
Sr: 0.0430 0.7398 0.3032
Sr: 0.1871 0.6588 0.8459
Sr: 0.5634 0.2602 0.3032
Sr: 0.1871 0.3412 0.5284
N: 0.9972 0.5000 0.4972

Space-group type: No. 44
M_tot: 0.00 μB per formula unit
DOS(E_F): 0.6625 states/eV per atom

***

*ii*
An optimized crystal structure of Na3Sr4N. Source: Alexandria via LeMat-Bulk, functional PBE.

a = 10.5114 Å, b = 11.0291 Å, c = 11.9494 Å
α = 90.00°, β = 90.00°, γ = 90.00°
Fractional coordinates of all 32 atoms:
N: 0.1969 0.5587 0.2500
N: 0.8031 0.4413 0.7500
N: 0.3031 0.0587 0.7500
N: 0.6969 0.9413 0.2500
Sr: 0.8068 0.0071 0.0873
Sr: 0.1932 0.9929 0.5873
Sr: 0.9879 0.4811 0.2500
Sr: 0.8109 0.2257 0.7500
Sr: 0.3068 0.4929 0.4127
Sr: 0.8068 0.0071 0.4127
Sr: 0.3068 0.4929 0.0873
Sr: 0.0121 0.5189 0.7500
Sr: 0.4879 0.0189 0.2500
Sr: 0.1891 0.7743 0.2500
Sr: 0.1932 0.9929 0.9127
Sr: 0.6932 0.5071 0.9127
Sr: 0.5121 0.9811 0.7500
Sr: 0.6932 0.5071 0.5873
Sr: 0.6891 0.7257 0.2500
Sr: 0.3109 0.2743 0.7500
Na: 0.9833 0.7073 0.0054
Na: 0.1432 0.1491 0.2500
Na: 0.4833 0.7927 0.4946
Na: 0.0167 0.2927 0.5054
Na: 0.0167 0.2927 0.9946
Na: 0.3568 0.6491 0.7500
Na: 0.9833 0.7073 0.4946
Na: 0.8568 0.8509 0.7500
Na: 0.5167 0.2073 0.9946
Na: 0.6432 0.3509 0.2500
Na: 0.5167 0.2073 0.5054
Na: 0.4833 0.7927 0.0054

Space-group type: No. 62
M_tot: 0.00 μB per formula unit
DOS(E_F): 0.6459 states/eV per atom

***

Referenced to the most stable arrangement, the calculated values in meV per atom are *i* 9; *ii* 0.

***

*i*
An optimized crystal structure of NaSrTe2N. Source: Alexandria via LeMat-Bulk, functional PBE.

a = 5.7375 Å, b = 5.7375 Å, c = 4.6119 Å
α = 90.00°, β = 90.00°, γ = 90.00°
Each line ends with the local moment (μB).
Fractional coordinates of all 5 atoms:
Te: 0.5000 0.0000 0.0000  0.15
Te: 0.0000 0.5000 0.0000  0.15
Sr: 0.5000 0.5000 0.5000  0.00
N: 0.0000 0.0000 0.5000  1.61
Na: 0.0000 0.0000 0.0000  0.01

Space-group type: No. 123
M_tot: 2.96 μB per formula unit
DOS(E_F): 0.7956 states/eV per atom

***

*ii*
An optimized crystal structure of NaSrTe2N. Source: Alexandria via LeMat-Bulk, functional PBE.

a = 6.3591 Å, b = 6.3591 Å, c = 4.9563 Å
α = 90.00°, β = 90.00°, γ = 90.00°
Each line ends with the local moment (μB).
Fractional coordinates of all 5 atoms:
N: 0.0000 0.0000 0.5000  1.40
Te: 0.5000 0.0000 0.0000  0.38
Te: 0.0000 0.5000 0.0000  0.38
Sr: 0.0000 0.0000 0.0000  0.02
Na: 0.5000 0.5000 0.5000  0.00

Space-group type: No. 123
M_tot: 3.64 μB per formula unit
DOS(E_F): 1.0217 states/eV per atom

***

Referenced to the most stable arrangement, the calculated values in meV per atom are *i* 0; *ii* 62.

***

*i*
An optimized crystal structure of NaTaN. Source: Alexandria via LeMat-Bulk, functional PBE.

a = 3.0050 Å, b = 3.0050 Å, c = 5.3507 Å
α = 90.00°, β = 90.00°, γ = 90.00°
Fractional coordinates of all 3 atoms:
N: 0.0000 0.0000 0.5000
Ta: 0.5000 0.5000 0.5000
Na: 0.0000 0.0000 0.0000

Space-group type: No. 123
M_tot: 0.00 μB per formula unit
DOS(E_F): 0.6261 states/eV per atom

***

*ii*
An optimized crystal structure of NaTaN. Source: Alexandria via LeMat-Bulk, functional PBE.

a = 11.7305 Å, b = 3.1370 Å, c = 5.4254 Å
α = 90.00°, β = 99.30°, γ = 90.00°
Fractional coordinates of all 12 atoms:
Ta: 0.1016 0.0000 0.9557
Ta: 0.3130 0.5000 0.8606
Ta: 0.3130 0.0000 0.3606
Ta: 0.1016 0.5000 0.4557
Na: 0.8457 0.5000 0.3665
Na: 0.5617 0.5000 0.6144
Na: 0.5617 0.0000 0.1144
Na: 0.8457 0.0000 0.8665
N: 0.2100 0.5000 0.1598
N: 0.0049 0.5000 0.7546
N: 0.0049 0.0000 0.2546
N: 0.2100 0.0000 0.6598

Space-group type: No. 8
M_tot: 0.00 μB per formula unit
DOS(E_F): 0.4458 states/eV per atom

***

*iii*
An optimized crystal structure of NaTaN. Source: Alexandria via LeMat-Bulk, functional PBE.

a = 3.1461 Å, b = 3.1462 Å, c = 11.4267 Å
α = 89.23°, β = 89.41°, γ = 60.01°
Fractional coordinates of all 6 atoms:
Ta: 0.5799 0.8767 0.1867
Ta: 0.2429 0.5348 0.3994
N: 0.5745 0.8642 0.4966
N: 0.9114 0.2058 0.2897
Na: 0.2507 0.5536 0.9348
Na: 0.9053 0.1917 0.6431

Space-group type: No. 1
M_tot: 0.00 μB per formula unit
DOS(E_F): 0.4448 states/eV per atom

***

Referenced to the most stable arrangement, the calculated values in meV per atom are *i* 126; *ii* 33; *iii* 0.